Record 1
# La6PrZn5, optimized geometry, DFT PBE
data_La6PrZn5
_chemical_formula_sum 'La6 Pr1 Zn5'
_cell_length_a 5.322
_cell_length_b 7.722
_cell_length_c 8.581
_cell_angle_alpha 90.00
_cell_angle_beta 108.07
_cell_angle_gamma 90.00
_symmetry_space_group_name_H-M 'P 1 2/m 1'
_symmetry_Int_Tables_number 10
_symmetry_space_group_name_Hall '-P 2y'
loop_
_atom_site_label
_atom_site_type_symbol
_atom_site_fract_x
_atom_site_fract_y
_atom_site_fract_z
La1 La 0.000 0.217 0.000
La2 La 0.324 0.244 0.646
Pr1 Pr 0.500 0.500 0.000
Zn1 Zn 0.150 0.500 0.302
Zn2 Zn 0.166 0.000 0.336
Zn3 Zn 0.500 0.000 0.000
# Magnetic moment   0.00 μB/f.u.
# Total energy   -43.22 eV for the cell shown


Record 2
# LaPr2Zn, optimized geometry, DFT PBE
data_LaPr2Zn
_chemical_formula_sum 'La3 Pr6 Zn3'
_cell_length_a 3.7417
_cell_length_b 3.7417
_cell_length_c 32.3371
_cell_angle_alpha 90.00
_cell_angle_beta 90.00
_cell_angle_gamma 120.00
_symmetry_space_group_name_H-M 'R 3 m'
_symmetry_Int_Tables_number 160
_symmetry_space_group_name_Hall 'R 3 -2"'
loop_
_atom_site_label
_atom_site_type_symbol
_atom_site_fract_x
_atom_site_fract_y
_atom_site_fract_z
La1 La 0.0000 0.0000 0.0000
Pr1 Pr 0.0000 0.0000 0.2365
Pr2 Pr 0.0000 0.0000 0.4300
Zn1 Zn 0.0000 0.0000 0.8336
# Magnetic moment   0.00 μB/f.u.
# Total energy   -47.62 eV for the cell shown


Record 3
# La6PrZn, optimized geometry, DFT PBE
data_La6PrZn
_chemical_formula_sum 'La12 Pr2 Zn2'
_cell_length_a 5.476
_cell_length_b 8.861
_cell_length_c 11.135
_cell_angle_alpha 90.00
_cell_angle_beta 90.00
_cell_angle_gamma 90.00
_symmetry_space_group_name_H-M 'A m m 2'
_symmetry_Int_Tables_number 38
_symmetry_space_group_name_Hall 'A 2 -2'
loop_
_atom_site_label
_atom_site_type_symbol
_atom_site_fract_x
_atom_site_fract_y
_atom_site_fract_z
La1 La 0.000 0.000 0.000
La2 La 0.000 0.199 0.283
La3 La 0.500 0.000 0.787
La4 La 0.500 0.225 0.515
Pr1 Pr 0.000 0.000 0.581
Zn1 Zn 0.500 0.000 0.231
# Magnetic moment   0.00 μB/f.u.
# Total energy   -71.50 eV for the cell shown


Record 4
# LaPr2Zn, optimized geometry, DFT PBE
data_LaPr2Zn
_chemical_formula_sum 'La4 Pr8 Zn4'
_cell_length_a 7.768
_cell_length_b 7.768
_cell_length_c 7.768
_cell_angle_alpha 90.00
_cell_angle_beta 90.00
_cell_angle_gamma 90.00
_symmetry_space_group_name_H-M 'F m -3 m'
_symmetry_Int_Tables_number 225
_symmetry_space_group_name_Hall '-F 4 2 3'
loop_
_atom_site_label
_atom_site_type_symbol
_atom_site_fract_x
_atom_site_fract_y
_atom_site_fract_z
La1 La 0.000 0.000 0.000
Pr1 Pr 0.250 0.250 0.250
Zn1 Zn 0.000 0.000 0.500
# Magnetic moment   1.26 μB/f.u.
# Total energy   -61.97 eV for the cell shown


Record 5
# LaPrZn, optimized geometry, DFT PBE
data_LaPrZn
_chemical_formula_sum 'La1 Pr1 Zn1'
_cell_length_a 5.0913
_cell_length_b 5.0913
_cell_length_c 3.8220
_cell_angle_alpha 90.00
_cell_angle_beta 90.00
_cell_angle_gamma 120.00
_symmetry_space_group_name_H-M 'P 3 m 1'
_symmetry_Int_Tables_number 156
_symmetry_space_group_name_Hall 'P 3 -2"'
loop_
_atom_site_label
_atom_site_type_symbol
_atom_site_fract_x
_atom_site_fract_y
_atom_site_fract_z
La1 La 0.0000 0.0000 0.0000
Pr1 Pr 0.3333 0.6667 0.6001
Zn1 Zn 0.6667 0.3333 0.3239
# Magnetic moment   0.00 μB/f.u.
# Total energy   -11.22 eV for the cell shown


Record 6
# LaPr2Zn2, optimized geometry, DFT PBE
data_LaPr2Zn2
_chemical_formula_sum 'La2 Pr4 Zn4'
_cell_length_a 3.782
_cell_length_b 5.392
_cell_length_c 13.952
_cell_angle_alpha 90.00
_cell_angle_beta 97.81
_cell_angle_gamma 90.00
_symmetry_space_group_name_H-M 'P 1 21/m 1'
_symmetry_Int_Tables_number 11
_symmetry_space_group_name_Hall '-P 2yb'
loop_
_atom_site_label
_atom_site_type_symbol
_atom_site_fract_x
_atom_site_fract_y
_atom_site_fract_z
La1 La 0.142 0.250 0.282
Pr1 Pr 0.046 0.750 0.094
Pr2 Pr 0.231 0.750 0.463
Zn1 Zn 0.360 0.250 0.721
Zn2 Zn 0.453 0.750 0.906
# Magnetic moment   0.00 μB/f.u.
# Total energy   -36.41 eV for the cell shown


Record 7
# La5Pr2Zn, optimized geometry, DFT PBE
data_La5Pr2Zn
_chemical_formula_sum 'La5 Pr2 Zn1'
_cell_length_a 7.209
_cell_length_b 7.209
_cell_length_c 7.212
_cell_angle_alpha 60.51
_cell_angle_beta 60.59
_cell_angle_gamma 60.37
_symmetry_space_group_name_H-M 'P 1'
_symmetry_Int_Tables_number 1
_symmetry_space_group_name_Hall 'P 1'
loop_
_atom_site_label
_atom_site_type_symbol
_atom_site_fract_x
_atom_site_fract_y
_atom_site_fract_z
La1 La 0.000 0.000 0.000
La2 La 0.006 0.533 0.462
La3 La 0.504 0.939 0.057
La4 La 0.539 0.467 0.998
La5 La 0.941 0.064 0.495
Pr1 Pr 0.065 0.501 0.934
Pr2 Pr 0.469 0.997 0.532
Zn1 Zn 0.497 0.503 0.502
# Magnetic moment   0.00 μB/f.u.
# Total energy   -35.64 eV for the cell shown


Record 8
# LaPr6Zn, optimized geometry, DFT PBE
data_LaPr6Zn
_chemical_formula_sum 'La1 Pr6 Zn1'
_cell_length_a 6.518
_cell_length_b 6.527
_cell_length_c 6.528
_cell_angle_alpha 96.39
_cell_angle_beta 96.55
_cell_angle_gamma 96.37
_symmetry_space_group_name_H-M 'P -1'
_symmetry_Int_Tables_number 2
_symmetry_space_group_name_Hall '-P 1'
loop_
_atom_site_label
_atom_site_type_symbol
_atom_site_fract_x
_atom_site_fract_y
_atom_site_fract_z
La1 La 0.000 0.000 0.000
Pr1 Pr 0.075 0.549 0.266
Pr2 Pr 0.266 0.076 0.548
Pr3 Pr 0.452 0.734 0.924
Zn1 Zn 0.500 0.500 0.500
# Magnetic moment   0.00 μB/f.u.
# Total energy   -34.76 eV for the cell shown


Record 9
# La12Pr6Zr, optimized geometry, DFT PBE
data_La12Pr6Zr
_chemical_formula_sum 'La36 Pr18 Zr3'
_cell_length_a 16.0670
_cell_length_b 16.0670
_cell_length_c 9.0764
_cell_angle_alpha 90.00
_cell_angle_beta 90.00
_cell_angle_gamma 120.00
_symmetry_space_group_name_H-M 'R -3'
_symmetry_Int_Tables_number 148
_symmetry_space_group_name_Hall '-R 3'
loop_
_atom_site_label
_atom_site_type_symbol
_atom_site_fract_x
_atom_site_fract_y
_atom_site_fract_z
La1 La 0.0347 0.2805 0.3387
La2 La 0.0782 0.5641 0.6653
Pr1 Pr 0.0173 0.1371 0.6762
Zr1 Zr 0.0000 0.0000 0.0000
# Magnetic moment   0.00 μB/f.u.
# Total energy   -286.76 eV for the cell shown


Record 10
# LaPrZr, optimized geometry, DFT PBE
data_LaPrZr
_chemical_formula_sum 'La1 Pr1 Zr1'
_cell_length_a 3.5074
_cell_length_b 3.5074
_cell_length_c 8.7217
_cell_angle_alpha 90.00
_cell_angle_beta 90.00
_cell_angle_gamma 120.00
_symmetry_space_group_name_H-M 'P 3 m 1'
_symmetry_Int_Tables_number 156
_symmetry_space_group_name_Hall 'P 3 -2"'
loop_
_atom_site_label
_atom_site_type_symbol
_atom_site_fract_x
_atom_site_fract_y
_atom_site_fract_z
La1 La 0.0000 0.0000 0.0000
Pr1 Pr 0.6667 0.3333 0.3774
Zr1 Zr 0.3333 0.6667 0.6890
# Magnetic moment   0.00 μB/f.u.
# Total energy   -17.79 eV for the cell shown


Record 11
# La14PrZr, optimized geometry, DFT PBE
data_La14PrZr
_chemical_formula_sum 'La28 Pr2 Zr2'
_cell_length_a 10.434
_cell_length_b 10.397
_cell_length_c 10.386
_cell_angle_alpha 90.00
_cell_angle_beta 90.00
_cell_angle_gamma 90.00
_symmetry_space_group_name_H-M 'A m m 2'
_symmetry_Int_Tables_number 38
_symmetry_space_group_name_Hall 'A 2 -2'
loop_
_atom_site_label
_atom_site_type_symbol
_atom_site_fract_x
_atom_site_fract_y
_atom_site_fract_z
La1 La 0.000 0.000 0.000
La2 La 0.000 0.000 0.500
La3 La 0.000 0.250 0.250
La4 La 0.257 0.000 0.240
La5 La 0.258 0.000 0.760
La6 La 0.258 0.240 0.000
La7 La 0.500 0.250 0.250
Pr1 Pr 0.500 0.000 0.500
Zr1 Zr 0.500 0.000 0.000
# Magnetic moment   0.00 μB/f.u.
# Total energy   -163.36 eV for the cell shown


Record 12
# LaPrZr, optimized geometry, DFT PBE
data_LaPrZr
_chemical_formula_sum 'La2 Pr2 Zr2'
_cell_length_a 3.871
_cell_length_b 3.871
_cell_length_c 12.855
_cell_angle_alpha 90.00
_cell_angle_beta 90.00
_cell_angle_gamma 90.00
_symmetry_space_group_name_H-M 'P 4/n m m'
_symmetry_Int_Tables_number 129
loop_
_symmetry_equiv_pos_as_xyz
'x,y,z'
'-x,-y,-z'
'-y+1/2,x,z'
'y+1/2,-x,-z'
'-x+1/2,-y+1/2,z'
'x+1/2,y+1/2,-z'
'y,-x+1/2,z'
'-y,x+1/2,-z'
'x+1/2,-y,-z'
'-x+1/2,y,z'
'-y,-x,-z'
'y,x,z'
'-x,y+1/2,-z'
'x,-y+1/2,z'
'y+1/2,x+1/2,-z'
'-y+1/2,-x+1/2,z'
loop_
_atom_site_label
_atom_site_type_symbol
_atom_site_fract_x
_atom_site_fract_y
_atom_site_fract_z
La1 La 0.250 0.250 0.100
Pr1 Pr 0.250 0.250 0.706
Zr1 Zr 0.250 0.250 0.451
# Magnetic moment   0.00 μB/f.u.
# Total energy   -35.93 eV for the cell shown